(1)
Computed, not measured: a geometry-optimized CePuTh structure at the PBE level of DFT.

Output
energy of formation from the pure elements = 0.425 eV per formula unit
V = 26.3 Å³/atom
N(E_F) = 8.52 states/eV/f.u.

abc: 3.4138 5.2393 9.1953
angles: 73.45 90.00 90.00
Each line ends with the local moment (μB).
Atoms (fractional coordinates):
Pu (0.7500, 0.4556, 0.0889)  0.12
Pu (0.2500, 0.5444, 0.9111)  0.12
Ce (0.7500, 0.3029, 0.3942)  0.26
Ce (0.2500, 0.6971, 0.6058)  0.26
Th (0.7500, 0.0909, 0.8181)  0.00
Th (0.2500, 0.9091, 0.1819)  0.00

***

(2)
Computed, not measured: a geometry-optimized Ce7PuTh12 structure at the PBE level of DFT.

Output
energy of formation from the pure elements = 14.058 eV per formula unit
V = 33.6 Å³/atom
N(E_F) = 56.90 states/eV/f.u.

abc: 9.5533 9.5533 9.5533
angles: 109.47 109.47 109.47
Each line ends with the local moment (μB).
Atoms (fractional coordinates):
Ce (0.5000, 0.5000, 0.0000)  -0.68
Ce (0.0000, 0.5000, 0.5000)  -0.68
Ce (0.5000, 0.0000, 0.5000)  -0.68
Ce (0.5000, 0.5000, 0.5000)  -0.08
Ce (0.0000, 0.0000, 0.5000)  -0.08
Ce (0.5000, 0.0000, 0.0000)  -0.08
Ce (0.0000, 0.5000, 0.0000)  -0.08
Pu (0.0000, 0.0000, 0.0000)  5.59
Th (0.4977, 0.7031, 0.7946)  -0.05
Th (0.9086, 0.7031, 0.2054)  -0.05
Th (0.5023, 0.2969, 0.2054)  -0.05
Th (0.0914, 0.2969, 0.7946)  -0.05
Th (0.7946, 0.0914, 0.2969)  -0.05
Th (0.7946, 0.4977, 0.7031)  -0.05
Th (0.2054, 0.9086, 0.7031)  -0.05
Th (0.2054, 0.5023, 0.2969)  -0.05
Th (0.7031, 0.7946, 0.4977)  -0.05
Th (0.2969, 0.2054, 0.5023)  -0.05
Th (0.7031, 0.2054, 0.9086)  -0.05
Th (0.2969, 0.7946, 0.0914)  -0.05

***

(3)
Computed, not measured: a geometry-optimized CePuTh4 structure at the PBE level of DFT.

Output
energy of formation from the pure elements = 1.898 eV per formula unit
V = 31.4 Å³/atom
N(E_F) = 13.22 states/eV/f.u.

abc: 5.4616 5.4615 7.9095
angles: 70.31 70.31 60.16
Each line ends with the local moment (μB).
Atoms (fractional coordinates):
Ce (0.5000, 0.5000, 0.5000)  -0.10
Pu (0.0000, 0.0000, 0.0000)  5.47
Th (0.7054, 0.7054, 0.8840)  0.19
Th (0.2946, 0.2946, 0.1160)  0.19
Th (0.1298, 0.1298, 0.6132)  0.18
Th (0.8702, 0.8702, 0.3868)  0.18